# 1
Computed, not measured: a geometry-optimized BiBPdSe2 structure at the PBE-GGA level of DFT.

Unit cell a=5.2381 b=5.2381 c=3.9791 alpha=90.00 beta=90.00 gamma=90.00
With the nearest neighbours (Å) after each atom.
Element x y z (fractional)
Bi: 0.0000 0.0000 0.0000  8 Se 3.29
B: 0.5000 0.5000 0.0000  2 Pd 1.99
Pd: 0.5000 0.5000 0.5000  2 B 1.99
Se: 0.0000 0.5000 0.5000  2 Pd 2.62
Se: 0.5000 0.0000 0.5000  2 Pd 2.62

Values from the calculation:
SG: P4/mmm, No. 123
D(E_F): 0.424 states/eV per atom
formation energy from raw total energies: 392 meV per atom

# 2
Computed, not measured: a geometry-optimized Cr2Os4C structure at the PBE-GGA level of DFT.

Unit cell a=6.8499 b=6.8499 c=6.8499 alpha=146.29 beta=146.29 gamma=48.42
With the nearest neighbours (Å) after each atom.
Element x y z (fractional)
Cr: 0.1482 0.1482 0.0000  1 Os 2.32
Cr: 0.8518 0.8518 0.0000  1 Os 2.32
Os: 0.0000 0.5000 0.5000  2 C 1.99
Os: 0.3337 0.3337 0.0000  1 C 2.08, 1 Cr 2.32
Os: 0.5000 0.0000 0.5000  2 C 1.99
Os: 0.6663 0.6663 0.0000  1 C 2.08, 1 Cr 2.32
C: 0.5000 0.5000 0.0000  6 Os 1.99-2.08

Values from the calculation:
SG: I4/mmm, No. 139
energy relative to the elements: 0.80 eV/atom
D(E_F): 0.858 states/eV per atom

# 3
Computed, not measured: a geometry-optimized Ca2YOsO8 structure at the PBE-GGA level of DFT.

Unit cell a=4.9015 b=6.7117 c=5.1963 alpha=90.00 beta=90.55 gamma=90.00
With the nearest neighbours (Å) after each atom.
Element x y z (fractional)
Ca: 0.0000 0.2429 0.0000  6 O 2.28-2.38
Ca: 0.0000 0.7571 0.0000  6 O 2.28-2.38
Y: 0.5000 0.5000 0.5000  6 O 2.22-2.36
Os: 0.5000 0.0000 0.5000  6 O 1.85-1.89
O: 0.2710 0.5000 0.1303  1 Y 2.22, 2 Ca 2.28
O: 0.2807 0.0000 0.2073  1 Os 1.85
O: 0.2835 0.2059 0.6389  1 Os 1.89
O: 0.2835 0.7941 0.6389  1 Os 1.89
O: 0.7165 0.2059 0.3611  1 Os 1.89
O: 0.7165 0.7941 0.3611  1 Os 1.89
O: 0.7193 0.0000 0.7927  1 Os 1.85
O: 0.7290 0.5000 0.8697  1 Y 2.22, 2 Ca 2.28

Values from the calculation:
SG: P2/m, No. 10
formation energy from raw total energies: -1995 meV per atom

Ordered V results: 109.2; 98.6; 170.9; unit Å³ per cell.